{"formula": "TiNb2Rh2", "functional": "PBE-GGA", "state": "relaxed", "e_tot_ev_per_atom": -8.8113, "polymorph_energy_mev_per_atom": 113, "e_form_ev_per_atom": -0.2638, "lattice": [[-2.264, -1.490, -6.928], [0.438, -7.288, 1.424], [-2.921, 0.011, 0.952]], "species": ["Nb", "Nb", "Nb", "Nb", "Rh", "Rh", "Rh", "Rh", "Ti", "Ti"], "frac_coords": [[0.173, 0.673, 0.500], [0.673, 0.827, 0.500], [0.827, 0.327, 0.500], [0.327, 0.173, 0.500], [0.370, 0.870, 0.000], [0.870, 0.630, 0.000], [0.630, 0.130, 0.000], [0.130, 0.370, 0.000], [0.000, 0.000, 0.000], [0.500, 0.500, 0.000]]}

***

{"formula": "Ti2GaSn2", "functional": "PBE-GGA", "state": "relaxed", "e_tot_ev_per_atom": -5.6225, "polymorph_energy_mev_per_atom": 0, "e_form_ev_per_atom": -0.2580, "lattice": [[6.899, 0.000, 0.000], [0.000, 6.899, 0.000], [0.000, 0.000, 4.186]], "species": ["Sn", "Sn", "Sn", "Sn", "Ga", "Ga", "Ti", "Ti", "Ti", "Ti"], "frac_coords": [[0.158, 0.658, 0.500], [0.658, 0.842, 0.500], [0.842, 0.342, 0.500], [0.342, 0.158, 0.500], [0.000, 0.000, 0.000], [0.500, 0.500, 0.000], [0.349, 0.849, 0.000], [0.849, 0.651, 0.000], [0.651, 0.151, 0.000], [0.151, 0.349, 0.000]]}

***

{"formula": "HfNbH", "functional": "PBE-GGA", "state": "relaxed", "e_tot_ev_per_atom": -7.6498, "polymorph_energy_mev_per_atom": 287, "lattice": [[2.955, 0.000, 0.000], [0.000, 5.363, 0.000], [-1.478, 0.000, 5.568]], "species": ["H", "H", "Nb", "Nb", "Hf", "Hf"], "frac_coords": [[0.433, 0.250, 0.866], [0.567, 0.750, 0.134], [0.805, 0.250, 0.611], [0.195, 0.750, 0.389], [0.925, 0.750, 0.849], [0.075, 0.250, 0.151]]}